No. 1
# Dy5Tl2O2 PBE relaxed
# Total magnetic moment = 0.000 μB per formula unit
# Electronic total energy = -5.6312 eV per atom
# Formation energy from raw total energies = -1446.8 meV per atom
data_Dy5Tl2O2
_chemical_formula_sum 'Dy20 Tl8 O8'
_cell_length_a 6.753
_cell_length_b 18.636
_cell_length_c 6.822
_cell_angle_alpha 90.00
_cell_angle_beta 90.00
_cell_angle_gamma 90.00
_space_group_name_H-M_alt 'I m m a'
_space_group_IT_number 74
_space_group_name_Hall '-I 2b 2'
loop_
_atom_site_label
_atom_site_type_symbol
_atom_site_fract_x
_atom_site_fract_y
_atom_site_fract_z
Dy1 Dy 0.000 0.137 0.063
Dy2 Dy 0.250 0.010 0.750
Dy3 Dy 0.250 0.250 0.750
Tl1 Tl 0.000 0.126 0.517
O1 O 0.000 0.000 0.000
O2 O 0.000 0.250 0.971

=====

No. 2
# Dy4Tl3O PBE relaxed
# Total magnetic moment = 0.000 μB per formula unit
# Electronic total energy = -4.5942 eV per atom
# Formation energy from raw total energies = -786.0 meV per atom
data_Dy4Tl3O
_chemical_formula_sum 'Dy8 Tl6 O2'
_cell_length_a 7.312
_cell_length_b 8.931
_cell_length_c 7.021
_cell_angle_alpha 90.00
_cell_angle_beta 90.00
_cell_angle_gamma 90.00
_space_group_name_H-M_alt 'P m n 21'
_space_group_IT_number 31
loop_
_space_group_symop_operation_xyz
'x,y,z'
'-x+1/2,-y,z+1/2'
'-x,y,z'
'x+1/2,-y,z+1/2'
loop_
_atom_site_label
_atom_site_type_symbol
_atom_site_fract_x
_atom_site_fract_y
_atom_site_fract_z
Dy1 Dy 0.000 0.111 0.000
Dy2 Dy 0.000 0.734 0.321
Dy3 Dy 0.237 0.780 0.882
Tl1 Tl 0.000 0.005 0.584
Tl2 Tl 0.217 0.463 0.069
O1 O 0.000 0.862 0.047

=====

No. 3
# Dy12Tl6O PBE relaxed
# Total magnetic moment = 0.000 μB per formula unit
# Electronic total energy = -4.3489 eV per atom
# Formation energy from raw total energies = -434.1 meV per atom
data_Dy12Tl6O
_chemical_formula_sum 'Dy36 Tl18 O3'
_cell_length_a 12.0436
_cell_length_b 12.0436
_cell_length_c 13.0434
_cell_angle_alpha 90.00
_cell_angle_beta 90.00
_cell_angle_gamma 120.00
_space_group_name_H-M_alt 'R -3'
_space_group_IT_number 148
_space_group_name_Hall '-R 3'
loop_
_atom_site_label
_atom_site_type_symbol
_atom_site_fract_x
_atom_site_fract_y
_atom_site_fract_z
Dy1 Dy 0.0338 0.1801 0.3896
Dy2 Dy 0.0343 0.8505 0.8824
Tl1 Tl 0.0017 0.3913 0.2549
O1 O 0.0000 0.0000 0.5000

=====

No. 4
# Dy2TlO PBE relaxed
# E above lowest polymorph = 0.520 eV per atom
# Total magnetic moment = 0.002 μB per formula unit
# Electronic total energy = -5.1674 eV per atom
# Formation energy from raw total energies = -1035.3 meV per atom
data_Dy2TlO
_chemical_formula_sum 'Dy2 Tl1 O1'
_cell_length_a 3.135
_cell_length_b 3.135
_cell_length_c 7.918
_cell_angle_alpha 90.00
_cell_angle_beta 90.00
_cell_angle_gamma 90.00
_space_group_name_H-M_alt 'P 4/m m m'
_space_group_IT_number 123
_space_group_name_Hall '-P 4 2'
loop_
_atom_site_label
_atom_site_type_symbol
_atom_site_fract_x
_atom_site_fract_y
_atom_site_fract_z
Dy1 Dy 0.000 0.000 0.195
Tl1 Tl 0.500 0.500 0.500
O1 O 0.500 0.500 0.000

=====

Question: The highest electronic total energy belongs to which entry?
Answer: Dy12Tl6O

=====

Question: formation energy from raw total energies of number 1 (Dy5Tl2O2)?
Answer: -1446.8 meV per atom